The following is a PBEsol calculation of crystalline La3Sc at its relaxed geometry, from Alexandria via LeMat-Bulk.

Summary:
N(E_F) ... 14.01 states/eV per cell
Energy relative to the elements ... 63 meV per atom

a = 5.706 Å, b = 7.144 Å, c = 6.183 Å
α = 90.00°, β = 90.00°, γ = 90.00°
Element x y z (fractional)
La  0.250  0.001  0.170
La  0.250  0.250  0.657
La  0.250  0.499  0.170
La  0.750  0.501  0.830
La  0.750  0.750  0.343
La  0.750  0.999  0.830
Sc  0.250  0.750  0.667
Sc  0.750  0.250  0.333